Record 1
Mg16Al12Ga | GGA-PBEsol | optimized geometry

Values from the calculation:
Fermi-level density of states, states/eV/atom: 0.3563
Energy of formation from the pure elements, eV per atom: -0.02
Uncorrected energy, eV/atom: -2.7758
Space-group type: Cm
Energy relative to the lowest polymorph listed for this composition, meV per atom: 0

Cell and atoms, written as CIF:
```
data_Mg16Al12Ga
_cell_length_a 8.988
_cell_length_b 8.981
_cell_length_c 8.981
_cell_angle_alpha 109.02
_cell_angle_beta 109.00
_cell_angle_gamma 109.00
_symmetry_space_group_name_H-M 'P 1'
_symmetry_Int_Tables_number 1
_symmetry_space_group_name_Hall 'P 1'
loop_
_atom_site_label
_atom_site_fract_x
_atom_site_fract_y
_atom_site_fract_z
Mg1 0.349 0.003 0.003
Mg2 0.291 0.688 0.688
Mg3 0.666 0.646 0.646
Mg4 0.998 0.999 0.999
Mg5 0.996 0.595 0.325
Mg6 0.400 0.712 0.402
Mg7 0.600 0.317 0.998
Mg8 0.995 0.350 0.998
Mg9 0.686 0.678 0.294
Mg10 0.320 0.003 0.599
Mg11 0.320 0.599 0.003
Mg12 0.686 0.294 0.678
Mg13 0.995 0.998 0.350
Mg14 0.600 0.998 0.317
Mg15 0.400 0.402 0.712
Mg16 0.996 0.325 0.595
Al1 0.175 0.365 0.365
Al2 0.813 0.184 0.184
Al3 0.011 0.825 0.641
Al4 0.635 0.001 0.814
Al5 0.362 0.365 0.179
Al6 0.187 0.191 0.818
Al7 0.818 0.004 0.632
Al8 0.818 0.632 0.004
Al9 0.187 0.818 0.191
Al10 0.362 0.179 0.365
Al11 0.635 0.814 0.001
Al12 0.011 0.641 0.825
Ga1 0.688 0.372 0.372
```

Record 2
K9Nb2As6 | GGA-PBEsol | optimized geometry

Values from the calculation:
Fermi-level density of states, states/eV/atom: 0.0002
Energy of formation from the pure elements, eV per atom: -0.46
Uncorrected energy, eV/atom: -4.1337
Space-group type: Pc

Cell and atoms, written as CIF:
```
data_K9Nb2As6
_cell_length_a 9.067
_cell_length_b 9.290
_cell_length_c 12.700
_cell_angle_alpha 95.85
_cell_angle_beta 90.00
_cell_angle_gamma 90.00
_symmetry_space_group_name_H-M 'P 1'
_symmetry_Int_Tables_number 1
_symmetry_space_group_name_Hall 'P 1'
loop_
_atom_site_label
_atom_site_fract_x
_atom_site_fract_y
_atom_site_fract_z
K1 0.651 0.413 0.169
K2 0.586 0.065 0.570
K3 0.562 0.373 0.897
K4 0.519 0.825 0.297
K5 0.481 0.825 0.797
K6 0.438 0.373 0.397
K7 0.414 0.065 0.070
K8 0.349 0.413 0.669
K9 0.190 0.984 0.602
K10 0.168 0.599 0.339
K11 0.063 0.926 0.901
K12 0.064 0.597 0.615
K13 0.071 0.200 0.222
K14 0.929 0.200 0.722
K15 0.936 0.597 0.115
K16 0.937 0.926 0.401
K17 0.832 0.599 0.839
K18 0.810 0.984 0.102
Nb1 0.680 0.659 0.551
Nb2 0.320 0.659 0.051
Nb3 0.165 0.343 0.947
Nb4 0.835 0.343 0.447
As1 0.699 0.413 0.621
As2 0.706 0.156 0.327
As3 0.585 0.718 0.032
As4 0.415 0.718 0.532
As5 0.294 0.156 0.827
As6 0.301 0.413 0.121
As7 0.191 0.589 0.876
As8 0.177 0.847 0.161
As9 0.094 0.276 0.481
As10 0.906 0.276 0.981
As11 0.823 0.847 0.661
As12 0.809 0.589 0.376
```

Record 3
As2PbSBr | GGA-PBEsol | optimized geometry

Values from the calculation:
Fermi-level density of states, states/eV/atom: 0.7770
Formation energy from raw total energies, eV/atom: 1.138
Uncorrected energy, eV/atom: -2.9552
Space-group type: P4/mmm

Cell and atoms, written as CIF:
```
data_As2PbSBr
_cell_length_a 5.357
_cell_length_b 5.439
_cell_length_c 5.439
_cell_angle_alpha 90.00
_cell_angle_beta 90.00
_cell_angle_gamma 90.00
_symmetry_space_group_name_H-M 'P 1'
_symmetry_Int_Tables_number 1
_symmetry_space_group_name_Hall 'P 1'
loop_
_atom_site_label
_atom_site_fract_x
_atom_site_fract_y
_atom_site_fract_z
Pb1 0.000 0.000 0.000
As1 0.000 0.000 0.500
As2 0.000 0.500 0.000
S1 0.500 0.500 0.500
Br1 0.500 0.000 0.000
```

Record 4
Ca2Pb2W | GGA-PBEsol | optimized geometry

Values from the calculation:
Fermi-level density of states, states/eV/atom: 0.8834
Energy of formation from the pure elements, eV per atom: 0.96
Uncorrected energy, eV/atom: -4.2563
Space-group type: I4/mmm

Cell and atoms, written as CIF:
```
data_Ca2Pb2W
_cell_length_a 4.175
_cell_length_b 4.175
_cell_length_c 9.190
_cell_angle_alpha 103.13
_cell_angle_beta 103.13
_cell_angle_gamma 90.00
_symmetry_space_group_name_H-M 'P 1'
_symmetry_Int_Tables_number 1
_symmetry_space_group_name_Hall 'P 1'
loop_
_atom_site_label
_atom_site_fract_x
_atom_site_fract_y
_atom_site_fract_z
Pb1 0.250 0.750 0.500
Pb2 0.750 0.250 0.500
Ca1 0.405 0.405 0.811
Ca2 0.595 0.595 0.189
W1 0.000 0.000 0.000
```